Computed, not measured: crystalline YNbMo2Pd at its relaxed geometry at the PBE level of DFT.

Values from the calculation:
The calculation puts the density at 7.068 g/cm3. As for the formation energy: 0.888 eV/atom.

Lattice parameters (Å, degrees): 4.744 5.012 4.744 90.00 90.00 90.00
Site moments in Bohr magnetons follow the coordinates.
Element x y z (fractional)
Y 0.500 0.500 0.500  0.02
Nb 0.000 0.000 0.000  -0.03
Mo 0.000 0.000 0.500  0.24
Mo 0.500 0.000 0.000  0.26
Pd 0.000 0.500 0.000  0.02

***

Computed, not measured: crystalline NbMo3Pt at its relaxed geometry at the PBE level of DFT.

Values from the calculation:
Its energy above the most stable polymorph in this dataset is 0.0000 eV/atom. The calculation puts the density at 9.000 g/cm3. As for the formation energy: 1.737 eV/atom.

Lattice parameters (Å, degrees): 4.736 4.736 4.736 90.00 90.00 90.00
Element x y z (fractional)
Mo 0.500 0.000 0.000
Mo 0.000 0.500 0.000
Mo 0.000 0.000 0.500
Nb 0.500 0.500 0.500
Pt 0.000 0.000 0.000

***

Computed, not measured: crystalline Nb2MoPt2 at its relaxed geometry at the PBE level of DFT.

Values from the calculation:
Its energy above the most stable polymorph in this dataset is 0.0000 eV/atom. The calculation puts the density at 12.773 g/cm3. As for the formation energy: -0.196 eV/atom.

Lattice parameters (Å, degrees): 7.034 7.034 3.531 90.00 90.00 90.00
Element x y z (fractional)
Pt 0.869 0.631 0.000
Pt 0.131 0.369 0.000
Pt 0.369 0.869 0.000
Pt 0.631 0.131 0.000
Mo 0.500 0.500 0.000
Mo 0.000 0.000 0.000
Nb 0.327 0.173 0.500
Nb 0.673 0.827 0.500
Nb 0.827 0.327 0.500
Nb 0.173 0.673 0.500

***

Computed, not measured: crystalline Nb5Mo3Pt12 at its relaxed geometry at the PBE level of DFT.

Values from the calculation:
The calculation puts the density at 12.267 g/cm3. As for the formation energy: 0.192 eV/atom.

Lattice parameters (Å, degrees): 12.958 12.958 12.958 109.47 109.47 109.47
Element x y z (fractional)
Pt 0.590 0.731 0.666
Pt 0.590 0.859 0.424
Pt 0.641 0.065 0.231
Pt 0.935 0.576 0.166
Pt 0.269 0.410 0.834
Pt 0.141 0.410 0.076
Pt 0.359 0.935 0.769
Pt 0.231 0.666 0.090
Pt 0.935 0.359 0.269
Pt 0.576 0.935 0.666
Pt 0.410 0.269 0.334
Pt 0.231 0.565 0.641
Pt 0.859 0.269 0.435
Pt 0.565 0.334 0.924
Pt 0.076 0.166 0.435
Pt 0.065 0.424 0.834
Pt 0.834 0.924 0.065
Pt 0.769 0.334 0.910
Pt 0.435 0.666 0.076
Pt 0.924 0.834 0.565
Pt 0.166 0.076 0.935
Pt 0.410 0.141 0.576
Pt 0.435 0.769 0.859
Pt 0.731 0.590 0.166
Pt 0.834 0.910 0.269
Pt 0.859 0.590 0.924
Pt 0.334 0.565 0.424
Pt 0.141 0.731 0.565
Pt 0.666 0.231 0.590
Pt 0.910 0.076 0.641
Pt 0.269 0.859 0.935
Pt 0.576 0.641 0.410
Pt 0.424 0.065 0.334
Pt 0.565 0.231 0.141
Pt 0.424 0.359 0.590
Pt 0.334 0.769 0.410
Pt 0.924 0.090 0.859
Pt 0.065 0.641 0.731
Pt 0.076 0.910 0.141
Pt 0.666 0.435 0.576
Pt 0.359 0.424 0.090
Pt 0.090 0.924 0.359
Pt 0.641 0.576 0.910
Pt 0.166 0.090 0.731
Pt 0.731 0.141 0.065
Pt 0.090 0.166 0.231
Pt 0.910 0.834 0.769
Pt 0.769 0.435 0.359
Nb 0.000 0.500 0.500
Nb 0.000 0.500 0.000
Nb 0.250 0.375 0.625
Nb 0.500 0.500 0.000
Nb 0.500 0.000 0.000
Nb 0.750 0.625 0.375
Nb 0.375 0.125 0.750
Nb 0.500 0.500 0.500
Nb 0.250 0.875 0.125
Nb 0.625 0.750 0.875
Nb 0.000 0.000 0.000
Nb 0.500 0.000 0.500
Nb 0.625 0.875 0.250
Nb 0.000 0.000 0.500
Nb 0.375 0.250 0.125
Nb 0.125 0.375 0.250
Nb 0.875 0.250 0.625
Nb 0.875 0.625 0.750
Nb 0.750 0.125 0.875
Nb 0.125 0.750 0.375
Mo 0.750 0.375 0.125
Mo 0.125 0.250 0.875
Mo 0.625 0.375 0.750
Mo 0.875 0.125 0.250
Mo 0.375 0.750 0.625
Mo 0.125 0.875 0.750
Mo 0.250 0.125 0.375
Mo 0.250 0.625 0.875
Mo 0.875 0.750 0.125
Mo 0.750 0.875 0.625
Mo 0.625 0.250 0.375
Mo 0.375 0.625 0.250

***

Computed, not measured: crystalline Nb5Mo4Pt at its relaxed geometry at the PBE level of DFT.

Values from the calculation:
The calculation puts the density at 10.200 g/cm3. As for the formation energy: -0.199 eV/atom.

Lattice parameters (Å, degrees): 3.257 3.257 16.010 90.00 90.00 90.00
Element x y z (fractional)
Nb 0.500 0.500 0.500
Nb 0.500 0.500 0.103
Nb 0.500 0.500 0.897
Nb 0.500 0.500 0.701
Nb 0.500 0.500 0.299
Mo 0.000 0.000 0.197
Mo 0.000 0.000 0.803
Mo 0.000 0.000 0.400
Mo 0.000 0.000 0.600
Pt 0.000 0.000 0.000

***

Computed, not measured: crystalline NbMoPt2 at its relaxed geometry at the PBE level of DFT.

Values from the calculation:
Its energy above the most stable polymorph in this dataset is 0.0000 eV/atom. The calculation puts the density at 14.451 g/cm3. As for the formation energy: -0.040 eV/atom.

Lattice parameters (Å, degrees): 4.548 4.548 4.548 60.00 60.00 60.00
Element x y z (fractional)
Pt 0.750 0.750 0.750
Pt 0.250 0.250 0.250
Nb 0.000 0.000 0.000
Mo 0.500 0.500 0.500

***

Computed, not measured: crystalline NbMoPt2 at its relaxed geometry at the PBE level of DFT.

Values from the calculation:
Its energy above the most stable polymorph in this dataset is 0.1268 eV/atom. The calculation puts the density at 13.657 g/cm3. As for the formation energy: 0.087 eV/atom.

Lattice parameters (Å, degrees): 7.217 7.217 5.775 51.33 51.33 90.00
Element x y z (fractional)
Pt 0.875 0.880 0.750
Pt 0.375 0.370 0.750
Pt 0.120 0.625 0.250
Pt 0.630 0.125 0.250
Nb 0.500 0.500 0.000
Nb 0.250 0.750 0.500
Mo 0.750 0.250 0.500
Mo 0.000 0.000 0.000

***

Computed, not measured: crystalline NbMoPt4 at its relaxed geometry at the PBE level of DFT.

Values from the calculation:
The calculation puts the density at 16.888 g/cm3. As for the formation energy: -0.460 eV/atom.

Lattice parameters (Å, degrees): 2.802 2.802 12.135 89.98 90.00 90.00
Element x y z (fractional)
Pt 0.500 0.500 0.842
Pt 0.000 0.000 0.664
Pt 0.000 0.000 0.336
Pt 0.500 0.500 0.158
Mo 0.000 0.000 0.000
Nb 0.500 0.500 0.500

***

Computed, not measured: crystalline NbMoPt14 at its relaxed geometry at the PBE level of DFT.

Values from the calculation:
The calculation puts the density at 19.273 g/cm3. As for the formation energy: -0.283 eV/atom.

Lattice parameters (Å, degrees): 5.641 5.641 7.906 90.00 90.00 90.00
Element x y z (fractional)
Pt 0.126 0.624 0.743
Pt 0.875 0.875 0.000
Pt 0.126 0.126 0.743
Pt 0.624 0.126 0.743
Pt 0.126 0.624 0.257
Pt 0.375 0.875 0.500
Pt 0.875 0.375 0.000
Pt 0.375 0.375 0.000
Pt 0.624 0.624 0.257
Pt 0.126 0.126 0.257
Pt 0.624 0.624 0.743
Pt 0.875 0.375 0.500
Pt 0.624 0.126 0.257
Pt 0.375 0.875 0.000
Mo 0.375 0.375 0.500
Nb 0.875 0.875 0.500

***

Computed, not measured: crystalline Nb14MoPt at its relaxed geometry at the PBE level of DFT.

Values from the calculation:
The calculation puts the density at 9.280 g/cm3. As for the formation energy: -0.154 eV/atom.

Lattice parameters (Å, degrees): 6.569 6.569 6.601 90.00 90.00 90.00
Element x y z (fractional)
Nb 0.875 0.875 0.000
Nb 0.375 0.375 0.000
Nb 0.875 0.375 0.500
Nb 0.128 0.128 0.252
Nb 0.622 0.622 0.748
Nb 0.375 0.875 0.500
Nb 0.128 0.622 0.748
Nb 0.875 0.375 0.000
Nb 0.622 0.128 0.252
Nb 0.128 0.622 0.252
Nb 0.128 0.128 0.748
Nb 0.622 0.128 0.748
Nb 0.622 0.622 0.252
Nb 0.375 0.875 0.000
Pt 0.875 0.875 0.500
Mo 0.375 0.375 0.500

***

Computed, not measured: crystalline NbMo3Pt at its relaxed geometry at the PBE level of DFT.

Values from the calculation:
Its energy above the most stable polymorph in this dataset is 0.0582 eV/atom. The calculation puts the density at 9.377 g/cm3. As for the formation energy: 1.795 eV/atom.

Lattice parameters (Å, degrees): 4.672 4.672 4.672 90.00 90.00 90.00
Element x y z (fractional)
Nb 0.000 0.000 0.000
Pt 0.500 0.500 0.500
Mo 0.000 0.500 0.000
Mo 0.000 0.000 0.500
Mo 0.500 0.000 0.000

***

Computed, not measured: crystalline NbMoPt at its relaxed geometry at the PBE level of DFT.

Values from the calculation:
The calculation puts the density at 12.553 g/cm3. As for the formation energy: -0.169 eV/atom.

Lattice parameters (Å, degrees): 3.914 3.914 6.753 97.68 97.68 88.99
Element x y z (fractional)
Nb 0.897 0.897 0.672
Nb 0.103 0.103 0.328
Mo 0.000 0.500 0.000
Mo 0.500 0.000 0.000
Pt 0.587 0.587 0.314
Pt 0.413 0.413 0.686

***

Computed, not measured: crystalline Nb2MoPt2 at its relaxed geometry at the PBE level of DFT.

Values from the calculation:
Its energy above the most stable polymorph in this dataset is 0.4030 eV/atom. The calculation puts the density at 12.179 g/cm3. As for the formation energy: 0.207 eV/atom.

Lattice parameters (Å, degrees): 3.857 3.857 6.736 73.36 73.36 90.00
Site moments in Bohr magnetons follow the coordinates.
Element x y z (fractional)
Nb 0.250 0.750 0.500  -0.02
Nb 0.750 0.250 0.500  -0.02
Pt 0.600 0.600 0.800  0.01
Pt 0.400 0.400 0.200  0.01
Mo 0.000 0.000 0.000  0.49

***

Computed, not measured: crystalline RbNb2MoPt at its relaxed geometry at the PBE level of DFT.

Values from the calculation:
The calculation puts the density at 7.240 g/cm3. As for the formation energy: 1.732 eV/atom.

Lattice parameters (Å, degrees): 4.798 5.603 4.798 90.00 90.00 90.00
Element x y z (fractional)
Nb 0.500 0.000 0.000
Nb 0.000 0.000 0.500
Pt 0.500 0.500 0.500
Rb 0.000 0.500 0.000
Mo 0.000 0.000 0.000

***

Computed, not measured: crystalline Nb2MoPtRh5 at its relaxed geometry at the PBE level of DFT.

Values from the calculation:
The calculation puts the density at 10.952 g/cm3. As for the formation energy: 0.258 eV/atom.

Lattice parameters (Å, degrees): 7.398 7.398 7.585 119.19 119.19 90.00
Element x y z (fractional)
Rh 0.344 0.844 0.270
Rh 0.425 0.344 0.270
Rh 0.656 0.156 0.730
Rh 0.925 0.425 0.270
Rh 0.075 0.575 0.730
Rh 0.575 0.656 0.730
Rh 0.156 0.075 0.730
Rh 0.500 0.500 0.000
Rh 0.844 0.925 0.270
Rh 0.000 0.000 0.000
Nb 0.119 0.381 0.000
Nb 0.381 0.881 0.000
Nb 0.619 0.119 0.000
Nb 0.881 0.619 0.000
Pt 0.250 0.750 0.500
Pt 0.750 0.250 0.500
Mo 0.750 0.750 0.500
Mo 0.250 0.250 0.500

***

Computed, not measured: crystalline NbMoPt2Rh at its relaxed geometry at the PBE level of DFT.

Values from the calculation:
The calculation puts the density at 10.704 g/cm3. As for the formation energy: 1.159 eV/atom.

Lattice parameters (Å, degrees): 4.797 4.597 4.797 90.00 90.00 90.00
Site moments in Bohr magnetons follow the coordinates.
Element x y z (fractional)
Pt 0.000 0.000 0.500  0.01
Pt 0.500 0.000 0.000  0.04
Nb 0.500 0.500 0.500  1.84
Rh 0.000 0.500 0.000  0.04
Mo 0.000 0.000 0.000  -0.12

***

Computed, not measured: crystalline NbMoRuPt2 at its relaxed geometry at the PBE level of DFT.

Values from the calculation:
The calculation puts the density at 10.932 g/cm3. As for the formation energy: 1.393 eV/atom.

Lattice parameters (Å, degrees): 4.801 4.482 4.801 90.00 90.00 90.00
Element x y z (fractional)
Ru 0.000 0.000 0.000
Nb 0.500 0.500 0.500
Pt 0.000 0.000 0.500
Pt 0.500 0.000 0.000
Mo 0.000 0.500 0.000

***

Computed, not measured: crystalline NbMoRu2Pt at its relaxed geometry at the PBE level of DFT.

Values from the calculation:
The calculation puts the density at 9.724 g/cm3. As for the formation energy: 1.393 eV/atom.

Lattice parameters (Å, degrees): 4.557 4.820 4.557 90.00 90.00 90.00
Element x y z (fractional)
Ru 0.000 0.000 0.500
Ru 0.500 0.000 0.000
Pt 0.000 0.500 0.000
Mo 0.000 0.000 0.000
Nb 0.500 0.500 0.500

***

Computed, not measured: crystalline ScNbMo2Pt at its relaxed geometry at the PBE level of DFT.

Values from the calculation:
The calculation puts the density at 7.660 g/cm3. As for the formation energy: 1.185 eV/atom.

Lattice parameters (Å, degrees): 4.830 4.878 4.830 90.00 90.00 90.00
Element x y z (fractional)
Pt 0.000 0.000 0.000
Mo 0.000 0.000 0.500
Mo 0.500 0.000 0.000
Nb 0.000 0.500 0.000
Sc 0.500 0.500 0.500

***

Computed, not measured: crystalline TaNbMoPt2 at its relaxed geometry at the PBE level of DFT.

Values from the calculation:
The calculation puts the density at 11.307 g/cm3. As for the formation energy: 1.544 eV/atom.

Lattice parameters (Å, degrees): 4.813 4.818 4.813 90.00 90.00 90.00
Site moments in Bohr magnetons follow the coordinates.
Element x y z (fractional)
Pt 0.000 0.000 0.500  -0.12
Pt 0.500 0.000 0.000  -0.01
Ta 0.000 0.500 0.000  -0.52
Mo 0.500 0.500 0.500  2.55
Nb 0.000 0.000 0.000  0.01

***

Number 1: V 112.8 Å³/cell. Number 2: V 106.2 Å³/cell. Number 3: V 174.7 Å³/cell. Number 4: V 1674.9 Å³/cell. Number 5: V 169.9 Å³/cell. Number 6: V 66.5 Å³/cell. Number 7: V 140.8 Å³/cell. Number 8: V 95.3 Å³/cell. Number 9: V 251.6 Å³/cell. Number 10: V 284.8 Å³/cell. Number 11: V 102.0 Å³/cell. Number 12: V 101.6 Å³/cell. Number 13: V 91.6 Å³/cell. Number 14: V 129.0 Å³/cell. Number 15: V 300.6 Å³/cell. Number 16: V 105.8 Å³/cell. Number 17: V 103.3 Å³/cell. Number 18: V 100.1 Å³/cell. Number 19: V 113.8 Å³/cell. Number 20: V 111.6 Å³/cell.